Entry 1:
## Hf5AlGa2 (PBE)

Data for an optimized crystal structure of Hf5AlGa2.

a b c (Å): 7.211 7.211 7.966
angles (deg): 116.91 116.91 90.00
Atoms (fractional coordinates):
Al1 0.750 0.750 0.500
Al2 0.250 0.250 0.500
Hf1 0.004 0.504 0.693
Hf2 0.496 0.311 0.307
Hf3 0.500 0.500 0.000
Hf4 0.689 0.189 0.693
Hf5 0.996 0.496 0.307
Hf6 0.189 0.004 0.693
Hf7 0.504 0.689 0.693
Hf8 0.000 0.000 0.000
Hf9 0.311 0.811 0.307
Hf10 0.811 0.996 0.307
Ga1 0.638 0.138 0.000
Ga2 0.362 0.862 0.000
Ga3 0.138 0.362 0.000
Ga4 0.862 0.638 0.000

Calculated values
**Total magnetic moment**: 0.00 Bohr magnetons per cell
**Formation energy from the elements**: -33 kJ/mol of atoms
**SG**: I4/mcm (140)
**D(E_F)**: 1.34 states/eV/atom

Entry 2:
## Ce4Tl3H2 (PBE)

Data for an optimized crystal structure of Ce4Tl3H2.

a b c (Å): 4.455 5.973 8.232
angles (deg): 94.84 90.00 111.89
Each line ends with the local moment (μB).
Atoms (fractional coordinates):
H1 0.297 0.594 0.608  -0.01
H2 0.703 0.406 0.392  -0.01
Tl1 0.583 0.166 0.720  -0.01
Tl2 0.000 0.000 0.000  -0.01
Tl3 0.417 0.834 0.280  -0.01
Ce1 0.871 0.743 0.586  0.84
Ce2 0.722 0.444 0.114  0.75
Ce3 0.129 0.257 0.414  0.84
Ce4 0.278 0.556 0.886  0.75

Calculated values
**Total magnetic moment**: 3.77 Bohr magnetons per cell
**SG**: C2/m (12)
**D(E_F)**: 2.44 states/eV/atom
**Polymorph energy (0 for the lowest one)**: 0.0 meV per atom

Entry 3:
## BaAgO2 (PBE)

Data for an optimized crystal structure of BaAgO2.

a b c (Å): 4.337 4.337 3.734
angles (deg): 90.00 90.00 90.00
Atoms (fractional coordinates):
O1 0.000 0.500 0.000
O2 0.500 0.000 0.000
Ag1 0.000 0.000 0.000
Ba1 0.500 0.500 0.500

Calculated values
**Final energy**: -0.3723 Ry/atom
**Total magnetic moment**: 0.00 Bohr magnetons per cell
**SG**: P4/mmm (123)
**D(E_F)**: 0.33 states/eV/atom

Entry 4:
## LiPr12Tl3 (PBE)

Data for an optimized crystal structure of LiPr12Tl3.

a b c (Å): 5.035 5.035 20.199
angles (deg): 90.00 90.00 90.00
Atoms (fractional coordinates):
Pr1 0.500 0.000 0.625
Pr2 0.500 0.500 0.751
Pr3 0.500 0.500 0.249
Pr4 0.500 0.500 0.500
Pr5 0.500 0.000 0.873
Pr6 0.000 0.500 0.873
Pr7 0.500 0.500 0.000
Pr8 0.500 0.000 0.127
Pr9 0.500 0.000 0.375
Pr10 0.000 0.500 0.375
Pr11 0.000 0.500 0.625
Pr12 0.000 0.500 0.127
Tl1 0.000 0.000 0.500
Tl2 0.000 0.000 0.749
Tl3 0.000 0.000 0.251
Li1 0.000 0.000 0.000

Calculated values
**Total magnetic moment**: 0.00 Bohr magnetons per cell
**Formation energy from the elements**: -12 kJ/mol of atoms
**SG**: P4/mmm (123)
**D(E_F)**: 1.52 states/eV/atom

Entry 5:
## KBeCr2 (PBE)

Data for an optimized crystal structure of KBeCr2.

a b c (Å): 4.049 4.049 6.736
angles (deg): 79.93 79.93 48.91
Each line ends with the local moment (μB).
Atoms (fractional coordinates):
K1 0.250 0.250 0.250  0.01
Cr1 0.048 0.048 0.830  0.13
Cr2 0.452 0.452 0.670  0.13
Be1 0.750 0.750 0.750  0.00

Calculated values
**Total magnetic moment**: 0.38 Bohr magnetons per cell
**Formation energy from the elements**: 86 kJ/mol of atoms
**SG**: C2/m (12)
**D(E_F)**: 0.80 states/eV/atom

Entry 6:
## Tc2Ir7Rh2 (PBE)

Data for an optimized crystal structure of Tc2Ir7Rh2.

a b c (Å): 4.703 6.117 6.117
angles (deg): 81.16 97.32 97.32
Atoms (fractional coordinates):
Ir1 0.243 0.054 0.411
Ir2 0.757 0.946 0.589
Ir3 0.243 0.411 0.054
Ir4 0.768 0.537 0.537
Ir5 0.232 0.463 0.463
Ir6 0.000 0.000 0.000
Ir7 0.757 0.589 0.946
Rh1 0.254 0.764 0.764
Rh2 0.746 0.236 0.236
Tc1 0.500 0.182 0.818
Tc2 0.500 0.818 0.182

Calculated values
**Total magnetic moment**: 0.00 Bohr magnetons per cell
**Formation energy from the elements**: 27 kJ/mol of atoms
**SG**: C2/m (12)
**D(E_F)**: 1.14 states/eV/atom